Entry 1:
# K3Np3NbS8 | Alexandria | GGA-PBE | optimized geometry
# total energy = -6.996 eV/atom
# D(E_F) = 91.651 states/eV per cell
# E_form (uncorrected) = -19.73 eV per formula unit
data_K3Np3NbS8
_cell_length_a 7.8530
_cell_length_b 7.8530
_cell_length_c 22.6519
_cell_angle_alpha 90.00
_cell_angle_beta 90.00
_cell_angle_gamma 120.00
_symmetry_space_group_name_H-M 'R -3 m'
_symmetry_Int_Tables_number 166
_symmetry_space_group_name_Hall '-R 3 2"'
loop_
_atom_site_label
_atom_site_type_symbol
_atom_site_fract_x
_atom_site_fract_y
_atom_site_fract_z
K1 K 0.0000 0.5000 0.0000
Np1 Np 0.0000 0.5000 0.5000
Nb1 Nb 0.0000 0.0000 0.5000
S1 S 0.0000 0.0000 0.2347
S2 S 0.0172 0.5086 0.2306



Entry 2:
# MnCoCl | Alexandria | GGA-PBE | optimized geometry
# total energy = -5.729 eV/atom
# D(E_F) = 6.814 states/eV per cell
# E_form (uncorrected) = 0.93 eV per formula unit
data_MnCoCl
_cell_length_a 2.949
_cell_length_b 2.949
_cell_length_c 10.459
_cell_angle_alpha 90.00
_cell_angle_beta 90.00
_cell_angle_gamma 90.00
_symmetry_space_group_name_H-M 'I 4 m m'
_symmetry_Int_Tables_number 107
_symmetry_space_group_name_Hall 'I 4 -2'
loop_
_atom_site_label
_atom_site_type_symbol
_atom_site_fract_x
_atom_site_fract_y
_atom_site_fract_z
Mn1 Mn 0.000 0.000 0.000
Co1 Co 0.000 0.000 0.355
Cl1 Cl 0.000 0.000 0.689



Entry 3:
# YBI2Br | Alexandria | GGA-PBE | optimized geometry
# total energy = -3.554 eV/atom
# D(E_F) = 2.098 states/eV per cell
# E_form (uncorrected) = 0.14 eV per formula unit
data_YBI2Br
_cell_length_a 5.080
_cell_length_b 5.080
_cell_length_c 5.282
_cell_angle_alpha 90.00
_cell_angle_beta 90.00
_cell_angle_gamma 90.00
_symmetry_space_group_name_H-M 'P 4/m m m'
_symmetry_Int_Tables_number 123
_symmetry_space_group_name_Hall '-P 4 2'
loop_
_atom_site_label
_atom_site_type_symbol
_atom_site_fract_x
_atom_site_fract_y
_atom_site_fract_z
Y1 Y 0.000 0.000 0.000
B1 B 0.000 0.000 0.500
I1 I 0.000 0.500 0.500
Br1 Br 0.500 0.500 0.000



Entry 4:
# LiMnCo | Alexandria | GGA-PBE | optimized geometry
# total energy = -5.742 eV/atom
# energy of formation = 0.32 eV/atom
# D(E_F) = 6.581 states/eV per cell
data_LiMnCo
_cell_length_a 2.508
_cell_length_b 2.508
_cell_length_c 11.169
_cell_angle_alpha 90.00
_cell_angle_beta 90.00
_cell_angle_gamma 90.00
_symmetry_space_group_name_H-M 'I 4 m m'
_symmetry_Int_Tables_number 107
_symmetry_space_group_name_Hall 'I 4 -2'
loop_
_atom_site_label
_atom_site_type_symbol
_atom_site_fract_x
_atom_site_fract_y
_atom_site_fract_z
Li1 Li 0.000 0.000 0.000
Mn1 Mn 0.000 0.000 0.309
Co1 Co 0.000 0.000 0.675



Entry 5:
# YHo2Pb | Alexandria | GGA-PBE | optimized geometry
# total energy = -5.039 eV/atom
# energy of formation = -0.21 eV/atom
# D(E_F) = 4.158 states/eV per cell
data_YHo2Pb
_cell_length_a 3.622
_cell_length_b 3.622
_cell_length_c 9.244
_cell_angle_alpha 90.00
_cell_angle_beta 90.00
_cell_angle_gamma 90.00
_symmetry_space_group_name_H-M 'P 4/m m m'
_symmetry_Int_Tables_number 123
_symmetry_space_group_name_Hall '-P 4 2'
loop_
_atom_site_label
_atom_site_type_symbol
_atom_site_fract_x
_atom_site_fract_y
_atom_site_fract_z
Y1 Y 0.000 0.000 0.000
Ho1 Ho 0.500 0.500 0.266
Pb1 Pb 0.000 0.000 0.500



Entry 6:
# Rb5TiTe4 | Alexandria | GGA-PBE | optimized geometry
# total energy = -3.229 eV/atom
# D(E_F) = 4.215 states/eV per cell
# E_form (uncorrected) = -6.99 eV per formula unit
data_Rb5TiTe4
_cell_length_a 20.874
_cell_length_b 5.128
_cell_length_c 8.478
_cell_angle_alpha 90.00
_cell_angle_beta 91.68
_cell_angle_gamma 90.00
_symmetry_space_group_name_H-M 'C 1 2/m 1'
_symmetry_Int_Tables_number 12
loop_
_symmetry_equiv_pos_as_xyz
'x,y,z'
'-x,-y,-z'
'-x,y,-z'
'x,-y,z'
'x+1/2,y+1/2,z'
'-x+1/2,-y+1/2,-z'
'-x+1/2,y+1/2,-z'
'x+1/2,-y+1/2,z'
loop_
_atom_site_label
_atom_site_type_symbol
_atom_site_fract_x
_atom_site_fract_y
_atom_site_fract_z
Rb1 Rb 0.000 0.000 0.000
Rb2 Rb 0.122 0.500 0.109
Rb3 Rb 0.190 0.500 0.622
Ti1 Ti 0.000 0.000 0.500
Te1 Te 0.031 0.500 0.709
Te2 Te 0.129 0.000 0.380



Entry 7:
# CaO | Alexandria | GGA-PBE | optimized geometry
# total energy = -6.167 eV/atom
# D(E_F) = 0.000 states/eV per cell
# E_form (uncorrected) = -5.38 eV per formula unit
data_CaO
_cell_length_a 7.305
_cell_length_b 10.170
_cell_length_c 10.267
_cell_angle_alpha 90.00
_cell_angle_beta 90.00
_cell_angle_gamma 90.00
_symmetry_space_group_name_H-M 'F d d d'
_symmetry_Int_Tables_number 70
loop_
_symmetry_equiv_pos_as_xyz
'x,y,z'
'-x,-y,-z'
'-x+1/4,-y+1/4,z'
'x+1/4,y+1/4,-z'
'x,-y+1/4,-z+1/4'
'-x,y+1/4,z+1/4'
'-x+1/4,y,-z+1/4'
'x+1/4,-y,z+1/4'
'x,y+1/2,z+1/2'
'-x,-y+1/2,-z+1/2'
'-x+1/4,-y+3/4,z+1/2'
'x+1/4,y+3/4,-z+1/2'
'x,-y+3/4,-z+3/4'
'-x,y+3/4,z+3/4'
'-x+1/4,y+1/2,-z+3/4'
'x+1/4,-y+1/2,z+3/4'
'x+1/2,y,z+1/2'
'-x+1/2,-y,-z+1/2'
'-x+3/4,-y+1/4,z+1/2'
'x+3/4,y+1/4,-z+1/2'
'x+1/2,-y+1/4,-z+3/4'
'-x+1/2,y+1/4,z+3/4'
'-x+3/4,y,-z+3/4'
'x+3/4,-y,z+3/4'
'x+1/2,y+1/2,z'
'-x+1/2,-y+1/2,-z'
'-x+3/4,-y+3/4,z'
'x+3/4,y+3/4,-z'
'x+1/2,-y+3/4,-z+1/4'
'-x+1/2,y+3/4,z+1/4'
'-x+3/4,y+1/2,-z+1/4'
'x+3/4,-y+1/2,z+1/4'
loop_
_atom_site_label
_atom_site_type_symbol
_atom_site_fract_x
_atom_site_fract_y
_atom_site_fract_z
Ca1 Ca 0.125 0.286 0.125
O1 O 0.125 0.125 0.281



Entry 8:
# TbSmDy2Hg4 | Alexandria | GGA-PBE | optimized geometry
# total energy = -2.946 eV/atom
# energy of formation = -0.48 eV/atom
# D(E_F) = 27.118 states/eV per cell
data_TbSmDy2Hg4
_cell_length_a 5.2931
_cell_length_b 5.2931
_cell_length_c 25.9799
_cell_angle_alpha 90.00
_cell_angle_beta 90.00
_cell_angle_gamma 120.00
_symmetry_space_group_name_H-M 'R -3 m'
_symmetry_Int_Tables_number 166
_symmetry_space_group_name_Hall '-R 3 2"'
loop_
_atom_site_label
_atom_site_type_symbol
_atom_site_fract_x
_atom_site_fract_y
_atom_site_fract_z
Tb1 Tb 0.0000 0.0000 0.0000
Sm1 Sm 0.0000 0.0000 0.5000
Dy1 Dy 0.0000 0.0000 0.2503
Hg1 Hg 0.0000 0.0000 0.1239
Hg2 Hg 0.0000 0.0000 0.3741



Entry 9:
# Hf3Al5O12 | Alexandria | GGA-PBE | optimized geometry
# total energy = -8.289 eV/atom
# D(E_F) = 56.092 states/eV per cell
# E_form (uncorrected) = -57.70 eV per formula unit
data_Hf3Al5O12
_cell_length_a 11.826
_cell_length_b 11.826
_cell_length_c 11.826
_cell_angle_alpha 90.00
_cell_angle_beta 90.00
_cell_angle_gamma 90.00
_symmetry_space_group_name_H-M 'I a -3 d'
_symmetry_Int_Tables_number 230
_symmetry_space_group_name_Hall '-I 4bd 2c 3'
loop_
_atom_site_label
_atom_site_type_symbol
_atom_site_fract_x
_atom_site_fract_y
_atom_site_fract_z
Hf1 Hf 0.000 0.250 0.125
Al1 Al 0.000 0.000 0.000
Al2 Al 0.000 0.250 0.375
O1 O 0.030 0.055 0.650



Entry 10:
# Ti2Al2Pd | Alexandria | GGA-PBE | optimized geometry
# total energy = -6.160 eV/atom
# energy of formation = -0.47 eV/atom
# D(E_F) = 5.642 states/eV per cell
data_Ti2Al2Pd
_cell_length_a 6.398
_cell_length_b 6.398
_cell_length_c 4.016
_cell_angle_alpha 90.00
_cell_angle_beta 90.00
_cell_angle_gamma 90.00
_symmetry_space_group_name_H-M 'P 4/m b m'
_symmetry_Int_Tables_number 127
_symmetry_space_group_name_Hall '-P 4 2ab'
loop_
_atom_site_label
_atom_site_type_symbol
_atom_site_fract_x
_atom_site_fract_y
_atom_site_fract_z
Ti1 Ti 0.161 0.339 0.000
Al1 Al 0.141 0.641 0.500
Pd1 Pd 0.000 0.000 0.500



Entry 11:
# BaAg3Pt | Alexandria | GGA-PBE | optimized geometry
# total energy = -3.325 eV/atom
# energy of formation = -0.02 eV/atom
# D(E_F) = 1.723 states/eV per cell
data_BaAg3Pt
_cell_length_a 5.214
_cell_length_b 5.214
_cell_length_c 5.214
_cell_angle_alpha 90.00
_cell_angle_beta 90.00
_cell_angle_gamma 90.00
_symmetry_space_group_name_H-M 'P m -3 m'
_symmetry_Int_Tables_number 221
_symmetry_space_group_name_Hall '-P 4 2 3'
loop_
_atom_site_label
_atom_site_type_symbol
_atom_site_fract_x
_atom_site_fract_y
_atom_site_fract_z
Ba1 Ba 0.000 0.000 0.000
Ag1 Ag 0.000 0.500 0.500
Pt1 Pt 0.500 0.500 0.500



Entry 12:
# Mg2InCo | Alexandria | GGA-PBE | optimized geometry
# total energy = -3.159 eV/atom
# energy of formation = 0.10 eV/atom
# D(E_F) = 5.299 states/eV per cell
data_Mg2InCo
_cell_length_a 4.021
_cell_length_b 4.021
_cell_length_c 8.707
_cell_angle_alpha 90.00
_cell_angle_beta 90.00
_cell_angle_gamma 90.00
_symmetry_space_group_name_H-M 'I 4/m m m'
_symmetry_Int_Tables_number 139
_symmetry_space_group_name_Hall '-I 4 2'
loop_
_atom_site_label
_atom_site_type_symbol
_atom_site_fract_x
_atom_site_fract_y
_atom_site_fract_z
Mg1 Mg 0.000 0.500 0.250
In1 In 0.000 0.000 0.000
Co1 Co 0.000 0.000 0.500



Entry 13:
# Pm2InSiPd6 | Alexandria | GGA-PBE | optimized geometry
# total energy = -5.545 eV/atom
# D(E_F) = 8.592 states/eV per cell
# E_form (uncorrected) = -6.63 eV per formula unit
data_Pm2InSiPd6
_cell_length_a 11.436
_cell_length_b 5.567
_cell_length_c 8.016
_cell_angle_alpha 90.00
_cell_angle_beta 129.67
_cell_angle_gamma 90.00
_symmetry_space_group_name_H-M 'C 1 2/m 1'
_symmetry_Int_Tables_number 12
loop_
_symmetry_equiv_pos_as_xyz
'x,y,z'
'-x,-y,-z'
'-x,y,-z'
'x,-y,z'
'x+1/2,y+1/2,z'
'-x+1/2,-y+1/2,-z'
'-x+1/2,y+1/2,-z'
'x+1/2,-y+1/2,z'
loop_
_atom_site_label
_atom_site_type_symbol
_atom_site_fract_x
_atom_site_fract_y
_atom_site_fract_z
Pm1 Pm 0.002 0.000 0.251
In1 In 0.000 0.500 0.000
Si1 Si 0.000 0.500 0.500
Pd1 Pd 0.171 0.500 0.426
Pd2 Pd 0.233 0.255 0.782



Entry 14:
# GaTeRu3 | Alexandria | GGA-PBE | optimized geometry
# total energy = -5.669 eV/atom
# D(E_F) = 7.614 states/eV per cell
# E_form (uncorrected) = 5.65 eV per formula unit
data_GaTeRu3
_cell_length_a 4.567
_cell_length_b 4.567
_cell_length_c 4.567
_cell_angle_alpha 90.00
_cell_angle_beta 90.00
_cell_angle_gamma 90.00
_symmetry_space_group_name_H-M 'P m -3 m'
_symmetry_Int_Tables_number 221
_symmetry_space_group_name_Hall '-P 4 2 3'
loop_
_atom_site_label
_atom_site_type_symbol
_atom_site_fract_x
_atom_site_fract_y
_atom_site_fract_z
Ga1 Ga 0.000 0.000 0.000
Te1 Te 0.500 0.500 0.500
Ru1 Ru 0.000 0.000 0.500



Entry 15:
# Fe2NiRh2 | Alexandria | GGA-PBE | optimized geometry
# total energy = -7.416 eV/atom
# energy of formation = 0.07 eV/atom
# D(E_F) = 18.962 states/eV per cell
data_Fe2NiRh2
_cell_length_a 3.955
_cell_length_b 12.896
_cell_length_c 5.190
_cell_angle_alpha 90.00
_cell_angle_beta 90.00
_cell_angle_gamma 90.00
_symmetry_space_group_name_H-M 'C m c 21'
_symmetry_Int_Tables_number 36
loop_
_symmetry_equiv_pos_as_xyz
'x,y,z'
'-x,-y,z+1/2'
'-x,y,z'
'x,-y,z+1/2'
'x+1/2,y+1/2,z'
'-x+1/2,-y+1/2,z+1/2'
'-x+1/2,y+1/2,z'
'x+1/2,-y+1/2,z+1/2'
loop_
_atom_site_label
_atom_site_type_symbol
_atom_site_fract_x
_atom_site_fract_y
_atom_site_fract_z
Fe1 Fe 0.000 0.095 0.000
Fe2 Fe 0.000 0.309 0.243
Ni1 Ni 0.000 0.106 0.498
Rh1 Rh 0.000 0.297 0.732
Rh2 Rh 0.000 0.500 0.249



Entry 16:
# CaIn2Pb | Alexandria | GGA-PBE | optimized geometry
# total energy = -3.118 eV/atom
# energy of formation = -0.32 eV/atom
# D(E_F) = 1.842 states/eV per cell
data_CaIn2Pb
_cell_length_a 4.733
_cell_length_b 4.733
_cell_length_c 4.935
_cell_angle_alpha 90.00
_cell_angle_beta 90.00
_cell_angle_gamma 90.00
_symmetry_space_group_name_H-M 'P 4/m m m'
_symmetry_Int_Tables_number 123
_symmetry_space_group_name_Hall '-P 4 2'
loop_
_atom_site_label
_atom_site_type_symbol
_atom_site_fract_x
_atom_site_fract_y
_atom_site_fract_z
Ca1 Ca 0.000 0.000 0.000
In1 In 0.000 0.500 0.500
Pb1 Pb 0.500 0.500 0.000



Entry 17:
# YMnZn2 | Alexandria | GGA-PBE | optimized geometry
# total energy = -4.632 eV/atom
# energy of formation = -0.09 eV/atom
# D(E_F) = 3.815 states/eV per cell
data_YMnZn2
_cell_length_a 3.306
_cell_length_b 3.306
_cell_length_c 6.710
_cell_angle_alpha 90.00
_cell_angle_beta 90.00
_cell_angle_gamma 90.00
_symmetry_space_group_name_H-M 'P 4/m m m'
_symmetry_Int_Tables_number 123
_symmetry_space_group_name_Hall '-P 4 2'
loop_
_atom_site_label
_atom_site_type_symbol
_atom_site_fract_x
_atom_site_fract_y
_atom_site_fract_z
Y1 Y 0.000 0.000 0.000
Mn1 Mn 0.000 0.000 0.500
Zn1 Zn 0.500 0.500 0.300



Entry 18:
# Sm4SnBiSe2 | Alexandria | GGA-PBE | optimized geometry
# total energy = -5.535 eV/atom
# D(E_F) = 1.753 states/eV per cell
# E_form (uncorrected) = -10.55 eV per formula unit
data_Sm4SnBiSe2
_cell_length_a 7.520
_cell_length_b 4.367
_cell_length_c 7.568
_cell_angle_alpha 90.00
_cell_angle_beta 109.53
_cell_angle_gamma 90.00
_symmetry_space_group_name_H-M 'P 1 2/m 1'
_symmetry_Int_Tables_number 10
loop_
_symmetry_equiv_pos_as_xyz
'x,y,z'
'-x,-y,-z'
'-x,y,-z'
'x,-y,z'
loop_
_atom_site_label
_atom_site_type_symbol
_atom_site_fract_x
_atom_site_fract_y
_atom_site_fract_z
Sm1 Sm 0.238 0.000 0.241
Sm2 Sm 0.241 0.500 0.752
Sn1 Sn 0.500 0.000 0.000
Bi1 Bi 0.500 0.500 0.500
Se1 Se 0.000 0.000 0.500
Se2 Se 0.000 0.500 0.000



Entry 19:
# Cs2UAgSe6 | Alexandria | GGA-PBE | optimized geometry
# total energy = -4.353 eV/atom
# D(E_F) = 27.804 states/eV per cell
# E_form (uncorrected) = -6.77 eV per formula unit
data_Cs2UAgSe6
_cell_length_a 13.247
_cell_length_b 7.726
_cell_length_c 7.729
_cell_angle_alpha 90.00
_cell_angle_beta 124.93
_cell_angle_gamma 90.00
_symmetry_space_group_name_H-M 'C 1 2/m 1'
_symmetry_Int_Tables_number 12
loop_
_symmetry_equiv_pos_as_xyz
'x,y,z'
'-x,-y,-z'
'-x,y,-z'
'x,-y,z'
'x+1/2,y+1/2,z'
'-x+1/2,-y+1/2,-z'
'-x+1/2,y+1/2,-z'
'x+1/2,-y+1/2,z'
loop_
_atom_site_label
_atom_site_type_symbol
_atom_site_fract_x
_atom_site_fract_y
_atom_site_fract_z
Cs1 Cs 0.250 0.000 0.247
U1 U 0.000 0.000 0.500
Ag1 Ag 0.000 0.500 0.000
Se1 Se 0.001 0.244 0.258
Se2 Se 0.245 0.000 0.743



Entry 20:
# BaSrZr2B | Alexandria | GGA-PBE | optimized geometry
# total energy = -3.086 eV/atom
# energy of formation = 2.39 eV/atom
# D(E_F) = 7.044 states/eV per cell
data_BaSrZr2B
_cell_length_a 5.345
_cell_length_b 5.345
_cell_length_c 6.127
_cell_angle_alpha 90.00
_cell_angle_beta 90.00
_cell_angle_gamma 90.00
_symmetry_space_group_name_H-M 'P 4/m m m'
_symmetry_Int_Tables_number 123
_symmetry_space_group_name_Hall '-P 4 2'
loop_
_atom_site_label
_atom_site_type_symbol
_atom_site_fract_x
_atom_site_fract_y
_atom_site_fract_z
Ba1 Ba 0.000 0.000 0.000
Sr1 Sr 0.000 0.000 0.500
Zr1 Zr 0.000 0.500 0.000
B1 B 0.500 0.500 0.500